Entry from the Alexandria database: a relaxed structure of BaMnO2F (PBE with a Hubbard U).

Cell and atoms, written as CIF:
```
data_BaMnO2F
_cell_length_a 4.828
_cell_length_b 4.828
_cell_length_c 4.848
_cell_angle_alpha 90.00
_cell_angle_beta 90.00
_cell_angle_gamma 90.00
_symmetry_space_group_name_H-M 'P 4/m m m'
_symmetry_Int_Tables_number 123
_symmetry_space_group_name_Hall '-P 4 2'
loop_
_atom_site_label
_atom_site_type_symbol
_atom_site_fract_x
_atom_site_fract_y
_atom_site_fract_z
_atom_site_occupancy
Ba1 Ba 0.000 0.000 0.000 1
Mn1 Mn 0.500 0.500 0.500 1
O1 O 0.000 0.500 0.000 1
F1 F 0.000 0.000 0.500 1
```

Summary:
D(E_F) ... 0.44 states/eV per atom
Total magnetic moment ... 4.22 μB per formula unit
Energy ... -5.13 eV per atom
Volume ... 22.6 A^3/atom